1.
! SCAN Ag2SI, PBEsol geometry; values from VASP
&SYSTEM
  ibrav = 0, nat = 16, ntyp = 3
/
ATOMIC_SPECIES
Ag 107.87 Ag.upf
S 32.06 S.upf
I 126.90 I.upf
ATOMIC_POSITIONS angstrom
Ag 1.731 1.731 1.731
Ag 1.731 1.731 5.194
Ag 1.731 5.194 1.731
Ag 1.731 5.194 5.194
Ag 5.194 1.731 1.731
Ag 5.194 1.731 5.194
Ag 5.194 5.194 1.731
Ag 5.194 5.194 5.194
S 0.000 0.000 0.000
S 0.000 3.462 3.462
S 3.462 0.000 3.462
S 3.462 3.462 0.000
I 0.000 0.000 3.462
I 0.000 3.462 0.000
I 3.462 0.000 0.000
I 3.462 3.462 3.462
CELL_PARAMETERS angstrom
6.925 0.000 0.000
0.000 6.925 0.000
0.000 0.000 6.925
! D(E_F): 3.810 states/eV/f.u.
! excess energy over the best structure of this formula in the dataset: 0.417 eV per atom
! calculated density: 7.5 g cm⁻³
! magnetic moment: 0.0 μB/cell
! formation energy (no corrections): 382.7 meV/atom

2.
! SCAN SrLiTa2O6F, PBEsol geometry; values from VASP
&SYSTEM
  ibrav = 0, nat = 22, ntyp = 5
/
ATOMIC_SPECIES
Sr 87.62 Sr.upf
Li 6.94 Li.upf
Ta 180.95 Ta.upf
O 16.00 O.upf
F 19.00 F.upf
ATOMIC_POSITIONS angstrom
Sr 0.000 0.000 0.000
Sr 0.000 3.725 0.000
Li -1.835 1.862 2.606
Li 1.835 1.862 2.606
Ta 1.835 1.862 -2.606
Ta 1.835 -1.862 2.606
Ta 3.670 0.000 0.000
Ta 0.000 0.000 5.212
O 2.241 -0.447 1.296
O 5.098 -0.447 1.296
O 3.670 -1.862 3.355
O 3.670 1.862 0.646
O 2.241 3.277 -1.296
O 1.429 -0.447 3.916
O 2.241 4.172 1.296
O 1.429 0.447 6.507
O 0.000 1.862 4.566
O 0.000 5.587 1.856
O -1.429 4.172 3.916
O 1.429 4.172 3.916
F 0.000 1.862 1.556
F 3.670 1.862 3.656
CELL_PARAMETERS angstrom
-3.670 3.725 5.212
3.670 -3.725 5.212
3.670 3.725 -5.212
! D(E_F): 0.000 states/eV/f.u.
! calculated density: 6.7 g cm⁻³
! magnetic moment: 0.0 μB/cell
! formation energy (no corrections): -3211.4 meV/atom

3.
! SCAN Al2Ag2Se, PBEsol geometry; values from VASP
&SYSTEM
  ibrav = 0, nat = 10, ntyp = 3
/
ATOMIC_SPECIES
Al 26.98 Al.upf
Ag 107.87 Ag.upf
Se 78.96 Se.upf
ATOMIC_POSITIONS angstrom
Al 0.000 0.000 1.287
Al 0.000 0.000 11.922
Al 1.876 1.876 5.317
Al 1.876 1.876 7.892
Ag 0.000 1.876 3.302
Ag 0.000 1.876 9.907
Ag 1.876 0.000 3.302
Ag 1.876 0.000 9.907
Se 0.000 0.000 6.605
Se 1.876 1.876 0.000
CELL_PARAMETERS angstrom
3.752 0.000 0.000
0.000 3.752 0.000
0.000 0.000 13.209
! D(E_F): 2.332 states/eV/f.u.
! calculated density: 6.2 g cm⁻³
! magnetic moment: 0.0 μB/cell
! formation energy (no corrections): 78.9 meV/atom

4.
! SCAN Be4CuNi, PBEsol geometry; values from VASP
&SYSTEM
  ibrav = 0, nat = 6, ntyp = 3
/
ATOMIC_SPECIES
Be 9.01 Be.upf
Cu 63.55 Cu.upf
Ni 58.69 Ni.upf
ATOMIC_POSITIONS angstrom
Be 0.734 0.734 0.734
Be 2.204 2.204 0.734
Be 2.204 0.734 2.204
Be 0.734 2.204 2.204
Cu 2.938 2.938 2.938
Ni 4.407 4.407 4.407
CELL_PARAMETERS angstrom
0.000 2.938 2.938
2.938 0.000 2.938
2.938 2.938 0.000
! D(E_F): 1.534 states/eV/f.u.
! calculated density: 5.2 g cm⁻³
! magnetic moment: 0.0 μB/cell
! ΔE_f: -278 meV per atom